A relaxed structure of Nd6GeSe3Cl2. Source: the Alexandria database, functional PBE.

Cell: 7.3361 7.3361 7.2951 Å, 99.54 99.54 120.09°
Closest atoms and distances in Å follow each position.
Fractional coordinates of all 12 atoms:
Nd 0.0870 0.4028 0.7584  3 Se 2.91-3.02, 1 Ge 2.92, 2 Cl 3.07-3.08
Nd 0.2310 0.2310 0.2377  3 Se 2.94-3.03, 1 Ge 2.95, 2 Cl 3.09
Nd 0.4028 0.0870 0.7584  3 Se 2.91-3.02, 1 Ge 2.92, 2 Cl 3.07-3.08
Nd 0.5972 0.9130 0.2416  3 Se 2.91-3.02, 1 Ge 2.92, 2 Cl 3.07-3.08
Nd 0.7690 0.7690 0.7623  3 Se 2.94-3.03, 1 Ge 2.95, 2 Cl 3.09
Nd 0.9130 0.5972 0.2416  3 Se 2.91-3.02, 1 Ge 2.92, 2 Cl 3.07-3.08
Ge 0.0000 0.0000 0.5000  6 Nd 2.92-2.95
Se 0.1714 0.8286 0.0000  6 Nd 2.91-3.02
Se 0.5000 0.5000 0.0000  6 Nd 2.91-3.03
Se 0.8286 0.1714 0.0000  6 Nd 2.91-3.02
Cl 0.3327 0.6673 0.5000  6 Nd 3.07-3.09
Cl 0.6673 0.3327 0.5000  6 Nd 3.07-3.09

Properties
energy	-5.521	eV/atom
N(E_F)	0.414	states/eV per atom
calculated volume	320.5	Å³/cell
total magnetization	0.00	μB/f.u.



A relaxed structure of Nd6Ge2SeCl3. Source: the Alexandria database, functional PBE.

Cell: 9.4597 9.4597 8.4028 Å, 102.21 102.21 26.10°
Closest atoms and distances in Å follow each position.
Fractional coordinates of all 12 atoms:
Nd 0.0063 0.0063 0.2409  1 Ge 2.88, 2 Se 2.93, 3 Cl 3.07-3.16
Nd 0.3282 0.3282 0.4265  3 Ge 2.92, 3 Cl 3.08-3.09
Nd 0.3363 0.3363 0.9017  2 Ge 2.90, 1 Se 2.95, 3 Cl 3.01-3.09
Nd 0.6637 0.6637 0.0983  2 Ge 2.90, 1 Se 2.95, 3 Cl 3.01-3.09
Nd 0.6718 0.6718 0.5735  3 Ge 2.92, 3 Cl 3.08-3.09
Nd 0.9937 0.9937 0.7591  1 Ge 2.88, 2 Se 2.93, 3 Cl 3.07-3.16
Ge 0.1659 0.1659 0.3333  6 Nd 2.88-2.92
Ge 0.8341 0.8341 0.6667  6 Nd 2.88-2.92
Se 0.5000 0.5000 0.0000  6 Nd 2.93-2.95
Cl 0.1692 0.1692 0.8358  6 Nd 3.01-3.16
Cl 0.5000 0.5000 0.5000  6 Nd 3.07-3.09
Cl 0.8308 0.8308 0.1642  6 Nd 3.01-3.16

Properties
energy	-5.287	eV/atom
N(E_F)	0.462	states/eV per atom
calculated volume	322.9	Å³/cell
total magnetization	0.00	μB/f.u.



A relaxed structure of Nd4Ge2SeCl. Source: the Alexandria database, functional PBE.

Cell: 7.3222 7.3222 7.3222 Å, 131.57 131.57 70.90°
Closest atoms and distances in Å follow each position.
Fractional coordinates of all 8 atoms:
Nd 0.0000 0.5000 0.5000  2 Ge 2.98, 2 Cl 3.00, 2 Se 3.00
Nd 0.2467 0.2467 0.0000  1 Se 2.94, 4 Ge 3.00, 1 Cl 3.02
Nd 0.5000 0.0000 0.5000  2 Ge 2.98, 2 Cl 3.00, 2 Se 3.00
Nd 0.7533 0.7533 0.0000  1 Se 2.94, 4 Ge 3.00, 1 Cl 3.02
Ge 0.2500 0.7500 0.5000  6 Nd 2.98-3.00
Ge 0.7500 0.2500 0.5000  6 Nd 2.98-3.00
Se 0.0000 0.0000 0.0000  6 Nd 2.94-3.00
Cl 0.5000 0.5000 0.0000  6 Nd 3.00-3.02

Properties
energy	-5.546	eV/atom
N(E_F)	0.254	states/eV per atom
calculated volume	215.2	Å³/cell
total magnetization	0.00	μB/f.u.



A relaxed structure of Nd4SiGeCl2. Source: the Alexandria database, functional PBE.

Cell: 7.3427 4.2746 7.3799 Å, 90.00 109.67 90.00°
Closest atoms and distances in Å follow each position.
Fractional coordinates of all 8 atoms:
Nd 0.2264 0.0000 0.2392  2 Si 2.91, 1 Ge 2.94, 3 Cl 3.09-3.12
Nd 0.2272 0.5000 0.7448  1 Si 2.91, 2 Ge 2.93, 3 Cl 3.10-3.12
Nd 0.7728 0.5000 0.2552  1 Si 2.91, 2 Ge 2.93, 3 Cl 3.10-3.12
Nd 0.7736 0.0000 0.7608  2 Si 2.91, 1 Ge 2.94, 3 Cl 3.09-3.12
Si 0.0000 0.5000 0.0000  6 Nd 2.91
Ge 0.0000 0.0000 0.5000  6 Nd 2.93-2.94
Cl 0.5000 0.0000 0.0000  6 Nd 3.09-3.10
Cl 0.5000 0.5000 0.5000  6 Nd 3.12

Properties
energy	-5.321	eV/atom
N(E_F)	0.465	states/eV per atom
calculated volume	218.1	Å³/cell
total magnetization	0.00	μB/f.u.



A relaxed structure of Nd8Si3GeCl4. Source: the Alexandria database, functional PBE.

Cell: 8.5081 8.5081 8.5081 Å, 60.04 60.04 60.04°
Closest atoms and distances in Å follow each position.
Fractional coordinates of all 16 atoms:
Nd 0.2393 0.7431 0.7431  2 Si 2.91, 1 Ge 2.93, 3 Cl 3.09-3.12
Nd 0.2416 0.2416 0.2416  3 Si 2.91, 3 Cl 3.11
Nd 0.2569 0.2569 0.7607  2 Si 2.91, 1 Ge 2.93, 3 Cl 3.09-3.12
Nd 0.2569 0.7607 0.2569  2 Si 2.91, 1 Ge 2.93, 3 Cl 3.09-3.12
Nd 0.7431 0.2393 0.7431  2 Si 2.91, 1 Ge 2.93, 3 Cl 3.09-3.12
Nd 0.7431 0.7431 0.2393  2 Si 2.91, 1 Ge 2.93, 3 Cl 3.09-3.12
Nd 0.7584 0.7584 0.7584  3 Si 2.91, 3 Cl 3.11
Nd 0.7607 0.2569 0.2569  2 Si 2.91, 1 Ge 2.93, 3 Cl 3.09-3.12
Si 0.0000 0.0000 0.5000  6 Nd 2.91
Si 0.0000 0.5000 0.0000  6 Nd 2.91
Si 0.5000 0.0000 0.0000  6 Nd 2.91
Ge 0.5000 0.5000 0.5000  6 Nd 2.93
Cl 0.0000 0.0000 0.0000  6 Nd 3.09
Cl 0.0000 0.5000 0.5000  6 Nd 3.11-3.12
Cl 0.5000 0.0000 0.5000  6 Nd 3.11-3.12
Cl 0.5000 0.5000 0.0000  6 Nd 3.11-3.12

Properties
energy	-5.353	eV/atom
N(E_F)	0.399	states/eV per atom
calculated volume	435.9	Å³/cell
total magnetization	0.00	μB/f.u.



A relaxed structure of Nd6Si2GeCl3. Source: the Alexandria database, functional PBE.

Cell: 9.5135 9.5135 8.5050 Å, 102.87 102.87 25.89°
Closest atoms and distances in Å follow each position.
Fractional coordinates of all 12 atoms:
Nd 0.0066 0.0066 0.2395  1 Si 2.89, 2 Ge 2.93, 3 Cl 3.10-3.12
Nd 0.3277 0.3277 0.4299  3 Si 2.91, 3 Cl 3.11
Nd 0.3370 0.3370 0.8992  2 Si 2.90, 1 Ge 2.95, 3 Cl 3.09-3.13
Nd 0.6630 0.6630 0.1008  2 Si 2.90, 1 Ge 2.95, 3 Cl 3.09-3.13
Nd 0.6723 0.6723 0.5701  3 Si 2.91, 3 Cl 3.11
Nd 0.9934 0.9934 0.7605  1 Si 2.89, 2 Ge 2.93, 3 Cl 3.10-3.12
Si 0.1668 0.1668 0.3342  6 Nd 2.89-2.91
Si 0.8332 0.8332 0.6658  6 Nd 2.89-2.91
Ge 0.5000 0.5000 0.0000  6 Nd 2.93-2.95
Cl 0.1661 0.1661 0.8336  6 Nd 3.09-3.13
Cl 0.5000 0.5000 0.5000  6 Nd 3.10-3.11
Cl 0.8339 0.8339 0.1664  6 Nd 3.09-3.13

Properties
energy	-5.343	eV/atom
N(E_F)	0.439	states/eV per atom
calculated volume	327.2	Å³/cell
total magnetization	0.00	μB/f.u.



A relaxed structure of NdSmGeCl. Source: the Alexandria database, functional PBE.

Cell: 5.8333 4.9953 4.9953 Å, 59.44 90.00 90.00°
Closest atoms and distances in Å follow each position.
Fractional coordinates of all 4 atoms:
Nd 0.0000 0.0000 0.0000  3 Cl 2.87-2.88, 2 Ge 2.92
Sm 0.5000 0.6687 0.6687  3 Ge 2.88, 2 Cl 2.92
Ge 0.5000 0.0002 0.0002  3 Sm 2.88, 2 Nd 2.92
Cl 0.0000 0.6687 0.6687  3 Nd 2.87-2.88, 2 Sm 2.92

Properties
energy	-4.966	eV/atom
N(E_F)	0.386	states/eV per atom
calculated volume	125.3	Å³/cell
total magnetization	0.00	μB/f.u.



A relaxed structure of Nd3SnGeCl. Source: the Alexandria database, functional PBE.

Cell: 7.5904 4.2417 11.3971 Å, 90.00 101.87 90.00°
Closest atoms and distances in Å follow each position.
Fractional coordinates of all 12 atoms:
Nd 0.0431 0.2500 0.1568  3 Ge 3.03-3.09, 1 Cl 3.16, 2 Sn 3.29
Nd 0.2270 0.7500 0.4974  3 Cl 2.94-3.04, 3 Sn 3.18-3.20
Nd 0.4518 0.7500 0.8507  3 Ge 3.02-3.07, 1 Cl 3.05, 2 Sn 3.38
Nd 0.5482 0.2500 0.1493  3 Ge 3.02-3.07, 1 Cl 3.05, 2 Sn 3.38
Nd 0.7730 0.2500 0.5026  3 Cl 2.94-3.04, 3 Sn 3.18-3.20
Nd 0.9569 0.7500 0.8432  3 Ge 3.03-3.09, 1 Cl 3.16, 2 Sn 3.29
Sn 0.1510 0.2500 0.6884  7 Nd 3.18-3.38
Sn 0.8490 0.7500 0.3116  7 Nd 3.18-3.38
Ge 0.2674 0.7500 0.0666  6 Nd 3.02-3.09
Ge 0.7326 0.2500 0.9334  6 Nd 3.02-3.09
Cl 0.3814 0.2500 0.3714  5 Nd 2.94-3.16
Cl 0.6186 0.7500 0.6286  5 Nd 2.94-3.16

Properties
energy	-5.145	eV/atom
N(E_F)	0.320	states/eV per atom
calculated volume	359.1	Å³/cell
total magnetization	0.00	μB/f.u.



A relaxed structure of TbNdGeCl. Source: the Alexandria database, functional PBE.

Cell: 5.8113 4.9448 4.9448 Å, 59.42 90.00 90.00°
Closest atoms and distances in Å follow each position.
Fractional coordinates of all 4 atoms:
Tb 0.0000 0.0000 0.0000  3 Ge 2.85, 2 Cl 2.91
Nd 0.5000 0.3312 0.3312  3 Cl 2.84-2.85, 2 Ge 2.91
Ge 0.0000 0.3314 0.3314  3 Tb 2.85, 2 Nd 2.91
Cl 0.5000 0.0001 0.0001  3 Nd 2.84-2.85, 2 Tb 2.91

Properties
energy	-4.927	eV/atom
N(E_F)	0.400	states/eV per atom
calculated volume	122.3	Å³/cell
total magnetization	0.00	μB/f.u.



A relaxed structure of Nd3GeTeCl. Source: the Alexandria database, functional PBE.

Cell: 8.9451 4.3063 9.9795 Å, 90.00 93.97 90.00°
Closest atoms and distances in Å follow each position.
Fractional coordinates of all 12 atoms:
Nd 0.1004 0.2500 0.3502  3 Ge 2.97-3.01, 2 Te 3.22
Nd 0.1686 0.2500 0.9370  2 Cl 2.80, 1 Ge 2.87
Nd 0.3664 0.7500 0.6430  1 Cl 2.88, 2 Ge 2.99, 1 Te 3.22
Nd 0.6336 0.2500 0.3570  1 Cl 2.88, 2 Ge 2.99, 1 Te 3.22
Nd 0.8314 0.7500 0.0630  2 Cl 2.80, 1 Ge 2.87
Nd 0.8996 0.7500 0.6498  3 Ge 2.97-3.01, 2 Te 3.22
Ge 0.1347 0.2500 0.6488  6 Nd 2.87-3.01
Ge 0.8653 0.7500 0.3512  6 Nd 2.87-3.01
Te 0.3640 0.7500 0.3197  5 Nd 3.22-3.24
Te 0.6360 0.2500 0.6803  5 Nd 3.22-3.24
Cl 0.3687 0.7500 0.9317  3 Nd 2.80-2.88
Cl 0.6313 0.2500 0.0683  3 Nd 2.80-2.88

Properties
energy	-5.188	eV/atom
N(E_F)	0.496	states/eV per atom
calculated volume	383.5	Å³/cell
total magnetization	1.14	μB/f.u.



A relaxed structure of Nd4GeTe2Cl. Source: the Alexandria database, functional PBE.

Cell: 7.4530 4.3434 7.7142 Å, 90.00 109.09 90.00°
Closest atoms and distances in Å follow each position.
Fractional coordinates of all 8 atoms:
Nd 0.2316 0.0000 0.2218  2 Ge 2.95, 1 Cl 3.03, 3 Te 3.16-3.24
Nd 0.2462 0.5000 0.7747  1 Ge 2.91, 2 Cl 3.03, 2 Te 3.17
Nd 0.7538 0.5000 0.2253  1 Ge 2.91, 2 Cl 3.03, 2 Te 3.17
Nd 0.7684 0.0000 0.7782  2 Ge 2.95, 1 Cl 3.03, 3 Te 3.16-3.24
Ge 0.0000 0.5000 0.0000  6 Nd 2.91-2.95
Te 0.0000 0.0000 0.5000  6 Nd 3.16-3.17
Te 0.5000 0.5000 0.5000  6 Nd 3.24-3.27
Cl 0.5000 0.0000 0.0000  6 Nd 3.03

Properties
energy	-5.320	eV/atom
N(E_F)	0.527	states/eV per atom
calculated volume	236.0	Å³/cell
total magnetization	0.00	μB/f.u.



A relaxed structure of Nd4GeTe2Cl2. Source: the Alexandria database, functional PBE.

Cell: 8.6148 8.6148 8.6774 Å, 115.60 115.60 29.06°
Closest atoms and distances in Å follow each position.
Fractional coordinates of all 9 atoms:
Nd 0.0165 0.0165 0.2901  1 Cl 2.78, 2 Ge 2.92
Nd 0.3007 0.3007 0.3071  1 Ge 2.98, 3 Cl 3.02-3.20, 3 Te 3.19-3.33
Nd 0.6993 0.6993 0.6929  1 Ge 2.98, 3 Cl 3.02-3.20, 3 Te 3.19-3.33
Nd 0.9835 0.9835 0.7099  1 Cl 2.78, 2 Ge 2.92
Ge 0.5000 0.5000 0.5000  6 Nd 2.92-2.98
Te 0.3456 0.3456 0.7214  5 Nd 3.19-3.33
Te 0.6544 0.6544 0.2786  5 Nd 3.19-3.33
Cl 0.1684 0.1684 0.9028  3 Nd 2.78-3.02
Cl 0.8316 0.8316 0.0972  3 Nd 2.78-3.02

Properties
energy	-5.182	eV/atom
N(E_F)	0.244	states/eV per atom
calculated volume	279.9	Å³/cell
total magnetization	0.00	μB/f.u.